# Ac2Al6Pt3

An optimized crystal structure of Ac2Al6Pt3 (GGA-PBE, the Alexandria database).

## Properties
As for the total energy: -58.07 eV per formula unit. The calculation puts the energy of formation from the pure elements at -0.844 eV per atom.

Unit cell a=7.8855 b=7.8855 c=4.3373 alpha=90.00 beta=90.00 gamma=120.00
Space group P-62m (No. 189)
One atom of each set of equivalent atoms:
Ac  0.3333  0.6667  0.0000 x2
Al  0.0000  0.1922  0.0000 x3
Al  0.0000  0.7027  0.5000 x3
Pt  0.0000  0.3624  0.5000 x3


# KSrSbS3

An optimized crystal structure of KSrSbS3 (GGA-PBE, the Alexandria database).

## Properties
As for the total energy: -25.45 eV per formula unit. For the formation energy from raw total energies, the calculation gives -99.1 kJ per mole of atoms.

Unit cell a=16.7775 b=5.0671 c=8.4557 alpha=90.00 beta=104.31 gamma=90.00
Space group C2/m (No. 12)
One atom of each set of equivalent atoms:
K  0.1457  0.0000  0.0697 x4
Sr  0.1581  0.0000  0.5742 x4
Sb  0.0024  0.5000  0.6825 x4
S  0.0040  0.0000  0.2785 x4
S  0.1555  0.5000  0.8001 x4
S  0.1607  0.5000  0.3498 x4


# ZnSb2CI

An optimized crystal structure of ZnSb2CI (GGA-PBE, the Alexandria database).

## Properties
As for the total energy: -14.76 eV per formula unit. For the formation energy from raw total energies, the calculation gives 106.7 kJ per mole of atoms.

Unit cell a=4.8056 b=4.8056 c=5.0680 alpha=90.00 beta=90.00 gamma=90.00
Space group P4/mmm (No. 123)
One atom of each set of equivalent atoms:
Zn  0.0000  0.0000  0.0000 x1
Sb  0.0000  0.5000  0.5000 x2
C  0.5000  0.5000  0.5000 x1
I  0.5000  0.5000  0.0000 x1


# Rb3W2S8

An optimized crystal structure of Rb3W2S8 (GGA-PBE, the Alexandria database).

## Properties
As for the total energy: -72.14 eV per formula unit. For the formation energy from raw total energies, the calculation gives -76.5 kJ per mole of atoms.

Unit cell a=7.1006 b=7.1006 c=28.6370 alpha=90.00 beta=90.00 gamma=120.00
Space group R-3m (No. 166, hexagonal axes)
One atom of each set of equivalent atoms:
Rb  0.0000  0.0000  0.0000 x3
Rb  0.0000  0.0000  0.2099 x6
W  0.0000  0.0000  0.4100 x6
S  0.0000  0.0000  0.3332 x6
S  0.0038  0.5019  0.7698 x18


# CePmThAg

An optimized crystal structure of CePmThAg (GGA-PBE, the Alexandria database).

## Properties
As for the total energy: -20.45 eV per formula unit. The calculation puts the energy of formation from the pure elements at 0.127 eV per atom.

Unit cell a=7.5285 b=7.5285 c=7.5285 alpha=90.00 beta=90.00 gamma=90.00
Space group F-43m (No. 216)
One atom of each set of equivalent atoms:
Ce  0.0000  0.0000  0.0000 x4
Pm  0.2500  0.2500  0.7500 x4
Th  0.2500  0.2500  0.2500 x4
Ag  0.0000  0.0000  0.5000 x4


# DyEr2Ag3Te6

An optimized crystal structure of DyEr2Ag3Te6 (GGA-PBE, the Alexandria database).

## Properties
As for the total energy: -51.01 eV per formula unit. For the formation energy from raw total energies, the calculation gives -79.4 kJ per mole of atoms.

Unit cell a=18.8038 b=4.3916 c=8.6802 alpha=90.00 beta=101.99 gamma=90.00
Space group C2/m (No. 12)
One atom of each set of equivalent atoms:
Dy  0.0000  0.0000  0.0000 x2
Er  0.1663  0.5000  0.3420 x4
Ag  0.0000  0.0000  0.5000 x2
Ag  0.1610  0.5000  0.8556 x4
Te  0.0006  0.5000  0.7473 x4
Te  0.1667  0.0000  0.5903 x4
Te  0.1695  0.0000  0.0928 x4


# Pm2YCo

An optimized crystal structure of Pm2YCo (GGA-PBE, the Alexandria database).

## Properties
As for the total energy: -23.38 eV per formula unit. The calculation puts the energy of formation from the pure elements at -0.077 eV per atom.

Unit cell a=3.7528 b=11.8790 c=9.7849 alpha=90.00 beta=90.00 gamma=90.00
Space group Cmcm (No. 63)
One atom of each set of equivalent atoms:
Pm  0.0000  0.1382  0.0726 x8
Y  0.0000  0.4104  0.2500 x4
Co  0.0000  0.2644  0.7500 x4


# AcPrTh

An optimized crystal structure of AcPrTh (GGA-PBE, the Alexandria database).

## Properties
As for the total energy: -16.03 eV per formula unit. The calculation puts the energy of formation from the pure elements at 0.094 eV per atom.

Unit cell a=3.7295 b=7.2177 c=9.0130 alpha=95.94 beta=101.91 gamma=104.97
Space group P-1 (No. 2)
One atom of each set of equivalent atoms:
Ac  0.2117  0.1090  0.3136 x2
Pr  0.0410  0.4114  0.6751 x2
Th  0.3799  0.7334  0.0187 x2


# CsRbSeCl

An optimized crystal structure of CsRbSeCl (GGA-PBE, the Alexandria database).

## Properties
As for the total energy: -11.65 eV per formula unit. For the formation energy from raw total energies, the calculation gives -108.5 kJ per mole of atoms.

Unit cell a=8.4831 b=8.4831 c=8.4831 alpha=90.00 beta=90.00 gamma=90.00
Space group F-43m (No. 216)
One atom of each set of equivalent atoms:
Cs  0.0000  0.0000  0.0000 x4
Rb  0.0000  0.0000  0.5000 x4
Se  0.2500  0.2500  0.7500 x4
Cl  0.2500  0.2500  0.2500 x4


# NaCa2AuO4

An optimized crystal structure of NaCa2AuO4 (GGA-PBE, the Alexandria database).

## Properties
As for the total energy: -43.00 eV per formula unit. For the formation energy from raw total energies, the calculation gives -175.8 kJ per mole of atoms.

Unit cell a=9.0158 b=8.9572 c=7.0313 alpha=90.00 beta=127.13 gamma=90.00
Space group C2/c (No. 15)
One atom of each set of equivalent atoms:
Na  0.0000  0.0000  0.0000 x4
Ca  0.0000  0.5000  0.0000 x4
Ca  0.2500  0.2500  0.0000 x4
Au  0.2500  0.2500  0.5000 x4
O  0.0645  0.2500  0.5864 x8
O  0.2240  0.4802  0.4439 x8


# Cr2InAs

An optimized crystal structure of Cr2InAs (GGA-PBE, the Alexandria database).

## Properties
As for the total energy: -25.65 eV per formula unit. The calculation puts the energy of formation from the pure elements at 0.246 eV per atom.

Unit cell a=3.3821 b=3.3821 c=21.9344 alpha=90.00 beta=90.00 gamma=120.00
Space group R-3m (No. 166, hexagonal axes)
One atom of each set of equivalent atoms:
Cr  0.0000  0.0000  0.2349 x6
In  0.0000  0.0000  0.0000 x3
As  0.0000  0.0000  0.5000 x3


# ZnSnN2F

An optimized crystal structure of ZnSnN2F (GGA-PBE, the Alexandria database).

## Properties
As for the total energy: -21.52 eV per formula unit. For the formation energy from raw total energies, the calculation gives 44.0 kJ per mole of atoms.

Unit cell a=4.1319 b=4.1319 c=4.1283 alpha=90.00 beta=90.00 gamma=90.00
Space group P4/mmm (No. 123)
One atom of each set of equivalent atoms:
Zn  0.0000  0.0000  0.0000 x1
Sn  0.5000  0.5000  0.5000 x1
N  0.0000  0.5000  0.5000 x2
F  0.5000  0.5000  0.0000 x1